[1]
{"formula": "CrSi2Mo", "functional": "GGA-PBE", "state": "relaxed", "raw_formation_energy_ev_per_atom": -0.04, "magnetic_moment_mub_per_cell": 2.18, "de_polymorph_mev_per_atom": 289, "lattice": [[3.5571, 0.0000, 0.0000], [0.0000, 4.3300, 0.0000], [0.0000, 0.0000, 3.5328]], "species": ["Cr", "Mo", "Si", "Si"], "fractional_positions": [[0.5000, 0.0000, 0.5000], [0.0000, 0.5000, 0.5000], [0.0000, 0.0000, 0.0000], [0.5000, 0.5000, 0.0000]]}

=====

[2]
{"formula": "CrSi2Mo", "functional": "GGA-PBE", "state": "relaxed", "raw_formation_energy_ev_per_atom": -0.33, "magnetic_moment_mub_per_cell": 0.00, "de_polymorph_mev_per_atom": 0, "lattice": [[-2.6007, -1.6687, 0.4084], [1.7125, -2.5773, 0.3742], [0.2365, 0.9240, 5.2816]], "species": ["Cr", "Mo", "Si", "Si"], "fractional_positions": [[0.0000, 0.0000, 0.4736], [0.5000, 0.5000, 0.7623], [0.0000, 0.0000, 0.0038], [0.5000, 0.5000, 0.2602]]}

=====

[3]
{"formula": "CrSi2Mo", "functional": "GGA-PBE", "state": "relaxed", "raw_formation_energy_ev_per_atom": 0.22, "magnetic_moment_mub_per_cell": 1.02, "de_polymorph_mev_per_atom": 553, "lattice": [[-1.3084, 1.4577, 1.7566], [-1.9250, -1.7926, 0.0537], [3.7442, -3.8416, 5.9769]], "species": ["Cr", "Mo", "Si", "Si"], "fractional_positions": [[0.0000, 0.0000, 0.4864], [0.5000, 0.5000, 0.7451], [0.0000, 0.0000, 0.9944], [0.5000, 0.5000, 0.2741]]}

=====

[4]
{"formula": "CrSiMo", "functional": "GGA-PBE", "state": "relaxed", "raw_formation_energy_ev_per_atom": -0.19, "magnetic_moment_mub_per_cell": 0.00, "lattice": [[-4.0045, 2.0996, -1.5115], [-4.3751, -0.6752, 1.7695], [4.5067, 0.8988, 1.2692]], "species": ["Cr", "Mo", "Si"], "fractional_positions": [[0.0008, 0.0008, 0.0000], [0.3390, 0.3390, 0.0000], [0.6602, 0.6602, 0.0000]]}

=====

[5]
{"formula": "CrSi2Mo", "functional": "GGA-PBE", "state": "relaxed", "raw_formation_energy_ev_per_atom": 0.10, "magnetic_moment_mub_per_cell": 0.65, "de_polymorph_mev_per_atom": 435, "lattice": [[4.2231, 0.0000, 0.0000], [2.1116, 3.6573, 0.0000], [2.1116, 1.2191, 3.4482]], "species": ["Cr", "Mo", "Si", "Si"], "fractional_positions": [[0.5000, 0.5000, 0.5000], [0.7500, 0.7500, 0.7500], [0.0000, 0.0000, 0.0000], [0.2500, 0.2500, 0.2500]]}

=====

[6]
{"formula": "CrSiMo", "functional": "GGA-PBE", "state": "relaxed", "raw_formation_energy_ev_per_atom": -0.10, "magnetic_moment_mub_per_cell": 0.00, "lattice": [[4.1396, 0.0000, 0.0000], [-2.0698, 3.5850, 0.0000], [0.0000, 0.0000, 2.7154]], "species": ["Cr", "Mo", "Si"], "fractional_positions": [[0.0000, 0.0000, 0.9579], [0.6667, 0.3333, 0.2717], [0.3333, 0.6667, 0.7704]]}

=====

[7]
{"formula": "CrSi2Mo", "functional": "GGA-PBE", "state": "relaxed", "raw_formation_energy_ev_per_atom": 0.34, "magnetic_moment_mub_per_cell": 4.16, "de_polymorph_mev_per_atom": 676, "lattice": [[6.5762, 0.0000, 0.0000], [0.0000, 6.5762, 0.0000], [3.2881, 3.2881, 2.7371]], "species": ["Cr", "Cr", "Mo", "Mo", "Si", "Si", "Si", "Si"], "fractional_positions": [[0.5000, 0.5000, 0.0000], [0.2500, 0.7500, 0.5000], [0.0000, 0.0000, 0.0000], [0.7500, 0.2500, 0.5000], [0.6114, 0.1250, 0.2500], [0.1386, 0.6250, 0.2500], [0.3750, 0.3886, 0.7500], [0.8750, 0.8614, 0.7500]]}

=====

[8]
{"formula": "CrSi3Mo", "functional": "GGA-PBE", "state": "relaxed", "raw_formation_energy_ev_per_atom": 1.33, "magnetic_moment_mub_per_cell": 0.51, "de_polymorph_mev_per_atom": 456, "lattice": [[-1.8706, 3.5216, -2.4127], [-2.7639, 1.0084, 3.6147], [3.2533, 2.8816, 1.6836]], "species": ["Cr", "Mo", "Si", "Si", "Si"], "fractional_positions": [[0.5000, 0.5000, 0.5000], [0.0000, 0.0000, 0.0000], [0.0000, 0.5000, 0.0000], [0.0000, 0.0000, 0.5000], [0.5000, 0.0000, 0.0000]]}

=====

[9]
{"formula": "TaCr2SiMo", "functional": "GGA-PBE", "state": "relaxed", "raw_formation_energy_ev_per_atom": 1.70, "magnetic_moment_mub_per_cell": 1.92, "lattice": [[-3.5018, 1.3633, 2.6369], [-3.0352, -2.3347, -2.8237], [0.4849, -3.7604, 2.5881]], "species": ["Cr", "Cr", "Mo", "Si", "Ta"], "fractional_positions": [[0.0000, 0.0000, 0.5000], [0.5000, 0.0000, 0.0000], [0.5000, 0.5000, 0.5000], [0.0000, 0.5000, 0.0000], [0.0000, 0.0000, 0.0000]]}

=====

[10]
{"formula": "CrSiTcMo", "functional": "GGA-PBE", "state": "relaxed", "raw_formation_energy_ev_per_atom": -0.16, "magnetic_moment_mub_per_cell": 0.02, "lattice": [[4.2465, 0.0000, 0.0000], [2.1232, 3.6776, 0.0000], [2.1232, 1.2259, 3.4672]], "species": ["Cr", "Mo", "Si", "Tc"], "fractional_positions": [[0.5000, 0.5000, 0.5000], [0.2500, 0.2500, 0.2500], [0.7500, 0.7500, 0.7500], [0.0000, 0.0000, 0.0000]]}

=====

[11]
{"formula": "ThCrSi2Mo", "functional": "GGA-PBE", "state": "relaxed", "raw_formation_energy_ev_per_atom": -0.46, "magnetic_moment_mub_per_cell": 1.39, "lattice": [[4.0567, 0.0000, 0.0000], [0.0000, 4.0567, 0.0000], [-2.0283, -2.0283, 5.4497]], "species": ["Th", "Cr", "Si", "Si", "Mo"], "fractional_positions": [[0.0000, 0.0000, 0.0000], [0.7500, 0.2500, 0.5000], [0.6148, 0.6148, 0.2296], [0.3852, 0.3852, 0.7704], [0.2500, 0.7500, 0.5000]]}

=====

[12]
{"formula": "VCrSiMo2", "functional": "GGA-PBE", "state": "relaxed", "raw_formation_energy_ev_per_atom": 1.06, "magnetic_moment_mub_per_cell": 0.01, "lattice": [[-3.6957, -2.5579, -0.1845], [1.1262, -1.8799, 3.5031], [-2.2524, 3.0829, 2.3785]], "species": ["Cr", "Mo", "Mo", "Si", "V"], "fractional_positions": [[0.0000, 0.5000, 0.0000], [0.0000, 0.0000, 0.5000], [0.5000, 0.0000, 0.0000], [0.0000, 0.0000, 0.0000], [0.5000, 0.5000, 0.5000]]}